# 1
Crystalline Ba2YAsBr at its relaxed geometry. Source: Alexandria via LeMat-Bulk, functional GGA-PBE.

a = 6.123 Å, b = 5.656 Å, c = 6.123 Å
α = 90.00°, β = 90.00°, γ = 90.00°
Last column: magnetic moment on the atom in μB.
Positions (direct):
1 Ba 0.500 0.000 0.000  0.12
2 Ba 0.000 0.000 0.500  0.14
3 As 0.000 0.500 0.000  -0.03
4 Y 0.500 0.500 0.500  0.57
5 Br 0.000 0.000 0.000  0.00

Summary:
- V: 42.41 Å³ per atom
- Raw formation energy: -2.0 kcal/mol of atoms
- VASP energy: -3.412 eV per atom
- SG: P4/mmm, No. 123
- Total moment: 0.390 μB per atom


# 2
Crystalline TiCdAs2 at its relaxed geometry. Source: Alexandria via LeMat-Bulk, functional GGA-PBE.

a = 4.750 Å, b = 4.750 Å, c = 4.750 Å
α = 60.00°, β = 60.00°, γ = 60.00°
Positions (direct):
1 As 0.250 0.250 0.250
2 As 0.750 0.750 0.750
3 Ti 0.000 0.000 0.000
4 Cd 0.500 0.500 0.500

Summary:
- V: 18.94 Å³ per atom
- Energy relative to the elements: 17 meV/atom
- VASP energy: -4.511 eV per atom
- SG: Fm-3m, No. 225
- Energy relative to the lowest polymorph listed for this composition: 1.278 eV/f.u.
- Total moment: 0.000 μB per atom


# 3
Crystalline AgBPd2Au at its relaxed geometry. Source: Alexandria via LeMat-Bulk, functional GGA-PBE.

a = 4.194 Å, b = 4.194 Å, c = 4.381 Å
α = 90.00°, β = 90.00°, γ = 90.00°
Positions (direct):
1 Pd 0.000 0.500 0.000
2 Pd 0.500 0.000 0.000
3 B 0.000 0.000 0.000
4 Au 0.000 0.000 0.500
5 Ag 0.500 0.500 0.500

Summary:
- V: 15.41 Å³ per atom
- Energy relative to the elements: -19 meV/atom
- VASP energy: -4.657 eV per atom
- SG: P4/mmm, No. 123
- Total moment: 0.000 μB per atom


# 4
Crystalline FeCl3 at its relaxed geometry. Source: Alexandria via LeMat-Bulk, functional GGA-PBE.

a = 3.370 Å, b = 12.285 Å, c = 6.514 Å
α = 115.35°, β = 90.07°, γ = 89.98°
Last column: magnetic moment on the atom in μB.
Positions (direct):
1 Fe 0.750 0.784 0.226  3.79
2 Fe 0.250 0.216 0.774  3.79
3 Cl 0.750 0.630 0.903  0.35
4 Cl 0.750 0.086 0.812  0.23
5 Cl 0.750 0.256 0.557  0.24
6 Cl 0.250 0.914 0.188  0.23
7 Cl 0.250 0.370 0.097  0.35
8 Cl 0.250 0.744 0.443  0.24

Summary:
- V: 30.46 Å³ per atom
- Raw formation energy: -16.2 kcal/mol of atoms
- VASP energy: -4.203 eV per atom
- SG: P-1, No. 2
- Total moment: 1.252 μB per atom


# 5
Crystalline Zr2ReOsN at its relaxed geometry. Source: Alexandria via LeMat-Bulk, functional GGA-PBE.

a = 4.576 Å, b = 3.822 Å, c = 4.576 Å
α = 90.00°, β = 90.00°, γ = 90.00°
Positions (direct):
1 Zr 0.000 0.000 0.500
2 Zr 0.500 0.000 0.000
3 Os 0.500 0.500 0.500
4 Re 0.000 0.500 0.000
5 N 0.000 0.000 0.000

Summary:
- V: 16.00 Å³ per atom
- Raw formation energy: -11.6 kcal/mol of atoms
- VASP energy: -10.323 eV per atom
- SG: P4/mmm, No. 123
- Total moment: 0.000 μB per atom


# 6
Crystalline Na3PmU3Se8 at its relaxed geometry. Source: Alexandria via LeMat-Bulk, functional GGA-PBE.

a = 8.331 Å, b = 8.329 Å, c = 8.533 Å
α = 119.23°, β = 90.00°, γ = 120.01°
Last column: magnetic moment on the atom in μB.
Positions (direct):
1 Na 0.500 0.500 0.000  0.00
2 Na 0.000 0.500 0.000  0.00
3 Na 0.000 0.000 0.000  0.00
4 Se 0.247 0.495 0.730  -0.05
5 Se 0.256 0.511 0.267  -0.06
6 Se 0.264 0.017 0.270  -0.05
7 Se 0.247 0.983 0.730  -0.05
8 Se 0.753 0.017 0.270  -0.05
9 Se 0.753 0.505 0.270  -0.05
10 Se 0.736 0.983 0.730  -0.05
11 Se 0.744 0.489 0.733  -0.06
12 U 0.500 0.500 0.500  2.52
13 U 0.000 0.500 0.500  2.52
14 U 0.500 0.000 0.500  2.52
15 Pm 0.000 0.000 0.500  0.07

Summary:
- V: 28.23 Å³ per atom
- Raw formation energy: -30.1 kcal/mol of atoms
- VASP energy: -6.002 eV per atom
- SG: R-3m, No. 166
- Total moment: 0.533 μB per atom


# 7
Crystalline CsHoPbCl6 at its relaxed geometry. Source: Alexandria via LeMat-Bulk, functional GGA-PBE.

a = 7.367 Å, b = 7.367 Å, c = 7.520 Å
α = 89.99°, β = 90.00°, γ = 60.00°
Positions (direct):
1 Cl 0.362 0.027 0.705
2 Cl 0.027 0.610 0.705
3 Cl 0.027 0.362 0.295
4 Cl 0.610 0.362 0.705
5 Cl 0.610 0.027 0.295
6 Cl 0.362 0.610 0.295
7 Cs 0.000 0.000 0.000
8 Ho 0.333 0.333 0.500
9 Pb 0.667 0.667 0.500

Summary:
- V: 39.27 Å³ per atom
- Raw formation energy: -43.7 kcal/mol of atoms
- VASP energy: -4.143 eV per atom
- SG: P312, No. 149
- Total moment: 0.000 μB per atom


# 8
Crystalline TbTh2Sn2 at its relaxed geometry. Source: Alexandria via LeMat-Bulk, functional GGA-PBE.

a = 5.683 Å, b = 6.447 Å, c = 8.981 Å
α = 111.03°, β = 90.00°, γ = 90.00°
Last column: magnetic moment on the atom in μB.
Positions (direct):
1 Th 0.750 0.418 0.837  0.01
2 Th 0.250 0.200 0.399  0.01
3 Th 0.750 0.800 0.601  0.01
4 Th 0.250 0.582 0.163  0.01
5 Tb 0.000 0.000 0.000  0.19
6 Tb 0.500 0.000 0.000  0.19
7 Sn 0.250 0.121 0.730  0.00
8 Sn 0.750 0.391 0.270  0.00
9 Sn 0.750 0.879 0.270  0.00
10 Sn 0.250 0.609 0.730  0.00

Summary:
- V: 30.71 Å³ per atom
- Energy relative to the elements: -285 meV/atom
- VASP energy: -5.780 eV per atom
- SG: Cmcm, No. 63
- Energy relative to the lowest polymorph listed for this composition: 1.458 eV/f.u.
- Total moment: 0.044 μB per atom


# 9
Crystalline LiIn2Hg6 at its relaxed geometry. Source: Alexandria via LeMat-Bulk, functional GGA-PBE.

a = 4.955 Å, b = 6.356 Å, c = 8.131 Å
α = 66.99°, β = 82.86°, γ = 71.46°
Positions (direct):
1 Hg 0.859 0.164 0.799
2 Hg 0.141 0.537 0.799
3 Hg 0.141 0.836 0.201
4 Hg 0.367 0.294 0.500
5 Hg 0.859 0.463 0.201
6 Hg 0.633 0.706 0.500
7 In 0.500 0.180 0.141
8 In 0.500 0.820 0.859
9 Li 0.000 0.000 0.500

Summary:
- V: 24.83 Å³ per atom
- Energy relative to the elements: -76 meV/atom
- VASP energy: -1.098 eV per atom
- SG: C2/m, No. 12
- Energy relative to the lowest polymorph listed for this composition: 0.000 eV/f.u.
- Total moment: 0.000 μB per atom


# 10
Crystalline Dy6Tm12Pb at its relaxed geometry. Source: Alexandria via LeMat-Bulk, functional GGA-PBE.

a = 8.370 Å, b = 8.370 Å, c = 8.370 Å
α = 88.66°, β = 88.66°, γ = 88.66°
Positions (direct):
1 Tm 0.360 0.008 0.198
2 Tm 0.008 0.198 0.360
3 Tm 0.802 0.640 0.992
4 Tm 0.992 0.802 0.640
5 Tm 0.225 0.457 0.567
6 Tm 0.433 0.775 0.543
7 Tm 0.775 0.543 0.433
8 Tm 0.543 0.433 0.775
9 Tm 0.640 0.992 0.802
10 Tm 0.198 0.360 0.008
11 Tm 0.567 0.225 0.457
12 Tm 0.457 0.567 0.225
13 Pb 0.000 0.000 0.000
14 Dy 0.092 0.692 0.256
15 Dy 0.256 0.092 0.692
16 Dy 0.908 0.308 0.744
17 Dy 0.692 0.256 0.092
18 Dy 0.308 0.744 0.908
19 Dy 0.744 0.908 0.308

Summary:
- V: 30.83 Å³ per atom
- Energy relative to the elements: 69 meV/atom
- VASP energy: -4.404 eV per atom
- SG: R-3, No. 148
- Total moment: 0.000 μB per atom


# 11
Crystalline LaZn4Os at its relaxed geometry. Source: Alexandria via LeMat-Bulk, functional GGA-PBE.

a = 5.246 Å, b = 5.246 Å, c = 5.246 Å
α = 60.00°, β = 60.00°, γ = 60.00°
Positions (direct):
1 Zn 0.373 0.373 0.881
2 Zn 0.881 0.373 0.373
3 Zn 0.373 0.881 0.373
4 Zn 0.373 0.373 0.373
5 Os 0.000 0.000 0.000
6 La 0.750 0.750 0.750

Summary:
- V: 17.01 Å³ per atom
- Energy relative to the elements: -57 meV/atom
- VASP energy: -3.599 eV per atom
- SG: F-43m, No. 216
- Total moment: 0.000 μB per atom


# 12
Crystalline LaIn2Au6 at its relaxed geometry. Source: Alexandria via LeMat-Bulk, functional GGA-PBE.

a = 3.687 Å, b = 8.131 Å, c = 8.131 Å
α = 59.77°, β = 76.90°, γ = 76.90°
Positions (direct):
1 Au 0.679 0.995 0.647
2 Au 0.500 0.327 0.673
3 Au 0.321 0.353 0.005
4 Au 0.321 0.005 0.353
5 Au 0.679 0.647 0.995
6 Au 0.500 0.673 0.327
7 In 0.141 0.359 0.359
8 In 0.859 0.641 0.641
9 La 0.000 0.000 0.000

Summary:
- V: 22.59 Å³ per atom
- Energy relative to the elements: -350 meV/atom
- VASP energy: -3.691 eV per atom
- SG: Immm, No. 71
- Total moment: 0.000 μB per atom


# 13
Crystalline LaBr2 at its relaxed geometry. Source: Alexandria via LeMat-Bulk, functional GGA-PBE.

a = 6.185 Å, b = 6.185 Å, c = 6.185 Å
α = 109.64°, β = 109.64°, γ = 109.14°
Positions (direct):
1 Br 0.683 0.817 0.500
2 Br 0.317 0.183 0.500
3 Br 0.817 0.317 0.134
4 Br 0.183 0.683 0.866
5 La 0.250 0.250 0.000
6 La 0.750 0.750 0.000

Summary:
- V: 30.35 Å³ per atom
- Raw formation energy: -40.2 kcal/mol of atoms
- VASP energy: -4.500 eV per atom
- SG: I4/mcm, No. 140
- Total moment: 0.000 μB per atom


# 14
Crystalline Li2Ce3Tl6 at its relaxed geometry. Source: Alexandria via LeMat-Bulk, functional GGA-PBE.

a = 4.776 Å, b = 4.776 Å, c = 13.499 Å
α = 100.19°, β = 100.19°, γ = 90.00°
Last column: magnetic moment on the atom in μB.
Positions (direct):
1 Li 0.452 0.452 0.905  0.01
2 Li 0.548 0.548 0.095  0.01
3 Tl 0.315 0.315 0.630  0.01
4 Tl 0.596 0.096 0.193  0.01
5 Tl 0.404 0.904 0.807  0.01
6 Tl 0.096 0.596 0.193  0.01
7 Tl 0.904 0.404 0.807  0.01
8 Tl 0.685 0.685 0.370  0.01
9 Ce 0.808 0.808 0.617  0.98
10 Ce 0.192 0.192 0.383  0.98
11 Ce 0.000 0.000 0.000  0.97

Summary:
- V: 27.10 Å³ per atom
- Energy relative to the elements: -146 meV/atom
- VASP energy: -3.403 eV per atom
- SG: I4/mmm, No. 139
- Total moment: 0.336 μB per atom


# 15
Crystalline La2Ni16H at its relaxed geometry. Source: Alexandria via LeMat-Bulk, functional GGA-PBE.

a = 6.303 Å, b = 6.303 Å, c = 6.303 Å
α = 84.13°, β = 84.13°, γ = 84.13°
Last column: magnetic moment on the atom in μB.
Positions (direct):
1 Ni 0.287 0.707 0.996  0.46
2 Ni 0.003 0.003 0.489  0.49
3 Ni 0.003 0.489 0.003  0.49
4 Ni 0.996 0.707 0.287  0.46
5 Ni 0.342 0.342 0.848  0.42
6 Ni 0.073 0.073 0.073  0.33
7 Ni 0.153 0.653 0.653  0.41
8 Ni 0.287 0.996 0.707  0.46
9 Ni 0.996 0.287 0.707  0.46
10 Ni 0.653 0.653 0.153  0.41
11 Ni 0.707 0.287 0.996  0.46
12 Ni 0.653 0.153 0.653  0.41
13 Ni 0.707 0.996 0.287  0.46
14 Ni 0.489 0.003 0.003  0.49
15 Ni 0.342 0.848 0.342  0.42
16 Ni 0.848 0.342 0.342  0.42
17 La 0.342 0.342 0.342  -0.08
18 La 0.672 0.672 0.672  -0.08
19 H 0.947 0.947 0.947  0.00

Summary:
- V: 12.98 Å³ per atom
- VASP energy: -5.650 eV per atom
- SG: R3m, No. 160
- Total moment: 0.332 μB per atom


# 16
Crystalline CaTiTc2S at its relaxed geometry. Source: Alexandria via LeMat-Bulk, functional GGA-PBE.

a = 4.608 Å, b = 4.989 Å, c = 4.608 Å
α = 90.00°, β = 90.00°, γ = 90.00°
Last column: magnetic moment on the atom in μB.
Positions (direct):
1 Ti 0.000 0.000 0.000  -0.21
2 Ca 0.500 0.500 0.500  0.01
3 S 0.000 0.500 0.000  0.10
4 Tc 0.500 0.000 0.000  1.65
5 Tc 0.000 0.000 0.500  1.34

Summary:
- V: 21.19 Å³ per atom
- Raw formation energy: 12.6 kcal/mol of atoms
- VASP energy: -6.406 eV per atom
- SG: P4/mmm, No. 123
- Total moment: 0.683 μB per atom


# 17
Crystalline K2AgSb at its relaxed geometry. Source: Alexandria via LeMat-Bulk, functional GGA-PBE.

a = 5.021 Å, b = 5.616 Å, c = 6.340 Å
α = 63.74°, β = 90.00°, γ = 90.00°
Positions (direct):
1 K 0.500 0.269 0.336
2 K 0.000 0.978 0.920
3 Sb 0.000 0.666 0.543
4 Ag 0.500 0.587 0.702

Summary:
- V: 40.08 Å³ per atom
- Raw formation energy: -7.3 kcal/mol of atoms
- VASP energy: -2.609 eV per atom
- SG: Amm2, No. 38
- Total moment: 0.000 μB per atom


# 18
Crystalline Y2PdPt3 at its relaxed geometry. Source: Alexandria via LeMat-Bulk, functional GGA-PBE.

a = 7.723 Å, b = 8.366 Å, c = 7.081 Å
α = 126.21°, β = 123.05°, γ = 90.00°
Positions (direct):
1 Y 0.885 0.182 0.364
2 Y 0.480 0.682 0.364
3 Y 0.520 0.318 0.636
4 Y 0.115 0.818 0.636
5 Pt 0.185 0.435 0.369
6 Pt 0.500 0.750 0.000
7 Pt 0.815 0.065 0.631
8 Pt 0.815 0.565 0.631
9 Pt 0.185 0.935 0.369
10 Pt 0.500 0.250 0.000
11 Pd 0.000 0.500 0.000
12 Pd 0.000 0.000 0.000

Summary:
- V: 22.67 Å³ per atom
- Energy relative to the elements: -729 meV/atom
- VASP energy: -6.770 eV per atom
- SG: Ibam, No. 72
- Energy relative to the lowest polymorph listed for this composition: 0.955 eV/f.u.
- Total moment: 0.000 μB per atom


# 19
Crystalline Ba2AlGe4Au3 at its relaxed geometry. Source: Alexandria via LeMat-Bulk, functional GGA-PBE.

a = 4.575 Å, b = 4.575 Å, c = 11.099 Å
α = 90.00°, β = 90.00°, γ = 90.00°
Positions (direct):
1 Ge 0.500 0.000 0.633
2 Ge 0.500 0.500 0.000
3 Ge 0.000 0.500 0.367
4 Ge 0.000 0.000 0.000
5 Au 0.000 0.500 0.127
6 Au 0.500 0.000 0.873
7 Au 0.000 0.000 0.500
8 Al 0.500 0.500 0.500
9 Ba 0.000 0.500 0.752
10 Ba 0.500 0.000 0.248

Summary:
- V: 23.24 Å³ per atom
- Energy relative to the elements: -489 meV/atom
- VASP energy: -4.078 eV per atom
- SG: P-4m2, No. 115
- Total moment: 0.000 μB per atom


# 20
Crystalline MnSn3 at its relaxed geometry. Source: Alexandria via LeMat-Bulk, functional GGA-PBE.

a = 6.406 Å, b = 6.406 Å, c = 5.417 Å
α = 90.00°, β = 90.00°, γ = 120.00°
Last column: magnetic moment on the atom in μB.
Positions (direct):
1 Mn 0.667 0.333 0.250  3.89
2 Mn 0.333 0.667 0.750  3.89
3 Sn 0.172 0.344 0.250  -0.04
4 Sn 0.828 0.656 0.750  -0.04
5 Sn 0.656 0.828 0.250  -0.04
6 Sn 0.172 0.828 0.250  -0.04
7 Sn 0.344 0.172 0.750  -0.04
8 Sn 0.828 0.172 0.750  -0.04

Summary:
- V: 24.06 Å³ per atom
- Energy relative to the elements: 272 meV/atom
- VASP energy: -5.022 eV per atom
- SG: P6_3/mmc, No. 194
- Total moment: 0.988 μB per atom